First-principles (GGA-PBE) data for crystalline BaSbS4 at its relaxed geometry, as listed in Alexandria.

Results
DOS(E_F) = 3.8 states/eV per cell
M_tot = 0.0 μB/cell
VASP energy = -52.90 eV per cell
Calculated density = 3709 kg/m3
ΔE_f (raw) = -62.6 kJ/mol of atoms

Cell: 6.6572 9.6501 7.8812 Å, 110.38 92.28 128.68°
Sites, in units of the cell vectors:
Ba: 0.3913 0.1413 0.7826
Ba: 0.6087 0.8587 0.2174
Sb: 0.2021 0.4521 0.4042
Sb: 0.7979 0.5479 0.5958
S: 0.1785 0.8228 0.9502
S: 0.7717 0.6274 0.9502
S: 0.1351 0.6921 0.4089
S: 0.8649 0.3079 0.5911
S: 0.7262 0.7832 0.5911
S: 0.2283 0.3726 0.0498
S: 0.2738 0.2168 0.4089
S: 0.8215 0.1772 0.0498

First-principles (GGA-PBE) data for crystalline BaSbS3 at its relaxed geometry, as listed in Alexandria.

Results
DOS(E_F) = 4.4 states/eV per cell
M_tot = 1.0 μB/cell
VASP energy = -15.51 eV per cell
Calculated density = 3090 kg/m3
ΔE_f (raw) = 56.4 kJ/mol of atoms

Cell: 5.7585 5.7585 5.7585 Å, 90.00 90.00 90.00°
Site moments in Bohr magnetons follow the coordinates.
Sites, in units of the cell vectors:
Sb: 0.5000 0.5000 0.5000  -0.55
S: 0.0000 0.5000 0.0000  0.41
S: 0.0000 0.0000 0.5000  0.65
S: 0.5000 0.0000 0.0000  0.34
Ba: 0.0000 0.0000 0.0000  0.07

First-principles (GGA-PBE) data for crystalline Ba4Sb2S at its relaxed geometry, as listed in Alexandria.

Results
DOS(E_F) = 0.2 states/eV per cell
M_tot = 0.0 μB/cell
VASP energy = -56.21 eV per cell
Calculated density = 4276 kg/m3
ΔE_f (raw) = -110.9 kJ/mol of atoms

Cell: 8.5164 7.8323 10.0845 Å, 90.00 107.74 90.00°
Sites, in units of the cell vectors:
Ba: 0.4921 0.5011 0.2471
Ba: 0.0129 0.7500 0.8897
Ba: 0.9871 0.2500 0.1103
Ba: 0.4921 0.9989 0.2471
Ba: 0.9729 0.2500 0.6273
Ba: 0.5079 0.0011 0.7529
Ba: 0.5079 0.4989 0.7529
Ba: 0.0271 0.7500 0.3727
Sb: 0.7132 0.7500 0.0586
Sb: 0.2868 0.2500 0.9414
Sb: 0.2637 0.2500 0.4475
Sb: 0.7363 0.7500 0.5525
S: 0.2268 0.7500 0.1808
S: 0.7732 0.2500 0.8192

First-principles (GGA-PBE) data for crystalline Ba2Sb2S at its relaxed geometry, as listed in Alexandria.

Results
DOS(E_F) = 4.9 states/eV per cell
M_tot = 0.0 μB/cell
VASP energy = -19.48 eV per cell
Calculated density = 4669 kg/m3
ΔE_f (raw) = -62.9 kJ/mol of atoms

Cell: 6.7143 6.7143 6.4331 Å, 58.54 58.54 90.00°
Sites, in units of the cell vectors:
Sb: 0.3282 0.3282 0.3437
Sb: 0.6718 0.6718 0.6563
S: 0.0000 0.0000 0.0000
Ba: 0.7500 0.2500 0.5000
Ba: 0.2500 0.7500 0.5000

First-principles (GGA-PBE) data for crystalline Ba3SbS5 at its relaxed geometry, as listed in Alexandria.

Results
DOS(E_F) = 8.6 states/eV per cell
M_tot = 1.5 μB/cell
VASP energy = -85.40 eV per cell
Calculated density = 4240 kg/m3
ΔE_f (raw) = -130.5 kJ/mol of atoms

Cell: 8.5414 8.5414 9.5925 Å, 116.44 116.44 90.00°
Site moments in Bohr magnetons follow the coordinates.
Sites, in units of the cell vectors:
Ba: 0.6605 0.1605 0.0000  0.02
Ba: 0.3395 0.8395 0.0000  0.02
Ba: 0.8395 0.6605 0.0000  0.02
Ba: 0.1605 0.3395 0.0000  0.02
Ba: 0.2500 0.2500 0.5000  0.00
Ba: 0.7500 0.7500 0.5000  0.00
Sb: 0.7500 0.2500 0.5000  0.11
Sb: 0.2500 0.7500 0.5000  0.11
S: 0.0123 0.5123 0.7109  0.09
S: 0.6986 0.1986 0.7109  0.09
S: 0.1986 0.0123 0.7109  0.09
S: 0.5123 0.6986 0.7109  0.09
S: 0.9877 0.4877 0.2891  0.09
S: 0.3014 0.8014 0.2891  0.09
S: 0.8014 0.9877 0.2891  0.09
S: 0.4877 0.3014 0.2891  0.09
S: 0.5000 0.5000 0.0000  0.02
S: 0.0000 0.0000 0.0000  0.02

First-principles (GGA-PBE) data for crystalline Ba7SbS5 at its relaxed geometry, as listed in Alexandria.

Results
DOS(E_F) = 7.9 states/eV per cell
M_tot = 1.5 μB/cell
VASP energy = -122.73 eV per cell
Calculated density = 4335 kg/m3
ΔE_f (raw) = -171.8 kJ/mol of atoms

Cell: 4.6536 7.8890 27.1532 Å, 89.98 90.00 107.15°
Site moments in Bohr magnetons follow the coordinates.
Sites, in units of the cell vectors:
Ba: 0.4642 0.9285 0.2501  0.07
Ba: 0.5365 0.0729 0.7499  0.07
Ba: 0.6361 0.2722 0.0348  0.01
Ba: 0.3645 0.7291 0.9652  0.01
Ba: 0.3643 0.7286 0.5348  0.01
Ba: 0.6360 0.2721 0.4653  0.01
Ba: 0.1790 0.3580 0.1738  0.04
Ba: 0.8217 0.6434 0.8261  0.04
Ba: 0.8214 0.6428 0.6738  0.04
Ba: 0.1792 0.3583 0.3262  0.04
Ba: 0.9098 0.8196 0.1067  0.01
Ba: 0.0908 0.1817 0.8933  0.01
Ba: 0.0905 0.1810 0.6066  0.01
Ba: 0.9099 0.8199 0.3934  0.01
Sb: 0.7941 0.5882 0.2500  -0.01
Sb: 0.2066 0.4132 0.7500  -0.01
S: 0.0003 0.0006 0.0000  0.00
S: 0.7278 0.4556 0.9281  0.00
S: 0.2728 0.5457 0.0719  0.00
S: 0.5424 0.0848 0.3590  0.00
S: 0.4581 0.9163 0.6410  0.00
S: 0.0002 0.0003 0.5000  0.00
S: 0.2729 0.5457 0.4282  0.00
S: 0.7275 0.4551 0.5719  0.00
S: 0.4584 0.9169 0.8589  0.00
S: 0.5422 0.0845 0.1411  0.00

First-principles (GGA-PBE) data for crystalline BaSbS2 at its relaxed geometry, as listed in Alexandria.

Results
DOS(E_F) = 3.1 states/eV per cell
M_tot = 0.0 μB/cell
VASP energy = -34.96 eV per cell
Calculated density = 3734 kg/m3
ΔE_f (raw) = -76.7 kJ/mol of atoms

Cell: 6.0616 6.0616 8.9219 Å, 70.14 70.14 90.00°
Sites, in units of the cell vectors:
Sb: 0.5000 0.5000 0.0000
Sb: 0.2500 0.7500 0.5000
S: 0.5679 0.1250 0.2500
S: 0.1821 0.6250 0.2500
S: 0.3750 0.4321 0.7500
S: 0.8750 0.8179 0.7500
Ba: 0.0000 0.0000 0.0000
Ba: 0.7500 0.2500 0.5000

First-principles (GGA-PBE) data for crystalline Ba2SbS at its relaxed geometry, as listed in Alexandria.

Results
DOS(E_F) = 2.3 states/eV per cell
M_tot = 0.0 μB/cell
VASP energy = -17.62 eV per cell
Calculated density = 4598 kg/m3
ΔE_f (raw) = -133.2 kJ/mol of atoms

Cell: 4.5866 4.5866 8.8961 Å, 75.06 75.06 60.00°
Sites, in units of the cell vectors:
Sb: 0.5000 0.5000 0.5000
S: 0.0000 0.0000 0.0000
Ba: 0.2608 0.2608 0.2175
Ba: 0.7392 0.7392 0.7825

First-principles (GGA-PBE) data for crystalline BaSb3S at its relaxed geometry, as listed in Alexandria.

Results
DOS(E_F) = 4.1 states/eV per cell
M_tot = 0.0 μB/cell
VASP energy = -19.30 eV per cell
Calculated density = 5630 kg/m3
ΔE_f (raw) = -17.0 kJ/mol of atoms

Cell: 5.4026 5.4026 5.4026 Å, 90.00 90.00 90.00°
Sites, in units of the cell vectors:
Sb: 0.0000 0.5000 0.0000
Sb: 0.0000 0.0000 0.5000
Sb: 0.5000 0.0000 0.0000
S: 0.0000 0.0000 0.0000
Ba: 0.5000 0.5000 0.5000

First-principles (GGA-PBE) data for crystalline Ba4Sb2S at its relaxed geometry, as listed in Alexandria.

Results
M_tot = 0.0 μB/cell
VASP energy = -28.56 eV per cell
Calculated density = 4377 kg/m3
ΔE_f (raw) = -117.1 kJ/mol of atoms

Cell: 5.8526 5.8526 10.0300 Å, 106.96 106.96 90.00°
Sites, in units of the cell vectors:
Sb: 0.6321 0.6321 0.2641
Sb: 0.3679 0.3679 0.7359
S: 0.0000 0.0000 0.0000
Ba: 0.8208 0.8208 0.6416
Ba: 0.1792 0.1792 0.3584
Ba: 0.0000 0.5000 0.0000
Ba: 0.5000 0.0000 0.0000

First-principles (GGA-PBE) data for crystalline Ba6SbS4 at its relaxed geometry, as listed in Alexandria.

Results
DOS(E_F) = 7.2 states/eV per cell
M_tot = 1.6 μB/cell
VASP energy = -102.30 eV per cell
Calculated density = 4359 kg/m3
ΔE_f (raw) = -166.5 kJ/mol of atoms

Cell: 4.6715 7.8822 23.2645 Å, 90.00 90.00 107.24°
Site moments in Bohr magnetons follow the coordinates.
Sites, in units of the cell vectors:
Ba: 0.5000 0.0000 0.0000  0.01
Ba: 0.5000 0.0000 0.5000  0.01
Ba: 0.0435 0.0870 0.3389  0.04
Ba: 0.9565 0.9130 0.6611  0.04
Ba: 0.9565 0.9130 0.8389  0.04
Ba: 0.0435 0.0870 0.1611  0.04
Ba: 0.7738 0.5476 0.4166  0.01
Ba: 0.2262 0.4524 0.5834  0.01
Ba: 0.2262 0.4524 0.9166  0.01
Ba: 0.7738 0.5476 0.0834  0.01
Ba: 0.3288 0.6576 0.2500  0.08
Ba: 0.6712 0.3424 0.7500  0.08
Sb: 0.6580 0.3159 0.2500  -0.01
Sb: 0.3420 0.6841 0.7500  -0.01
S: 0.8624 0.7249 0.5411  0.00
S: 0.4066 0.8132 0.1231  0.00
S: 0.1376 0.2751 0.4589  0.00
S: 0.5934 0.1868 0.8769  0.00
S: 0.8624 0.7249 0.9589  0.00
S: 0.1376 0.2751 0.0411  0.00
S: 0.5934 0.1868 0.6231  0.00
S: 0.4066 0.8132 0.3769  0.00

First-principles (GGA-PBE) data for crystalline Ba2SbS at its relaxed geometry, as listed in Alexandria.

Results
DOS(E_F) = 5.1 states/eV per cell
M_tot = 0.9 μB/cell
VASP energy = -16.54 eV per cell
Calculated density = 5108 kg/m3
ΔE_f (raw) = -107.3 kJ/mol of atoms

Cell: 5.8185 5.8185 5.8185 Å, 60.00 60.00 60.00°
Site moments in Bohr magnetons follow the coordinates.
Sites, in units of the cell vectors:
Sb: 0.5000 0.5000 0.5000  0.22
S: 0.0000 0.0000 0.0000  0.18
Ba: 0.2500 0.2500 0.2500  0.03
Ba: 0.7500 0.7500 0.7500  0.03

First-principles (GGA-PBE) data for crystalline Ba2ScSbS6 at its relaxed geometry, as listed in Alexandria.

Results
M_tot = 0.0 μB/cell
VASP energy = -104.13 eV per cell
Calculated density = 4064 kg/m3
ΔE_f (raw) = -125.4 kJ/mol of atoms

Cell: 7.0306 7.0306 12.7623 Å, 74.01 74.01 60.00°
Sites, in units of the cell vectors:
Ba: 0.8762 0.8762 0.3713
Ba: 0.1238 0.1238 0.6287
Ba: 0.7000 0.7000 0.9001
Ba: 0.3000 0.3000 0.0999
Sc: 0.5845 0.5845 0.2464
Sc: 0.4155 0.4155 0.7536
Sb: 0.0000 0.0000 0.0000
Sb: 0.5000 0.5000 0.5000
S: 0.8740 0.3746 0.3767
S: 0.3746 0.8740 0.3767
S: 0.3746 0.3746 0.3767
S: 0.1260 0.6254 0.6233
S: 0.6254 0.1260 0.6233
S: 0.6254 0.6254 0.6233
S: 0.7090 0.2055 0.8800
S: 0.2055 0.7090 0.8800
S: 0.2055 0.2055 0.8800
S: 0.2910 0.7945 0.1200
S: 0.7945 0.2910 0.1200
S: 0.7945 0.7945 0.1200

First-principles (GGA-PBE) data for crystalline BaSi2SbS8 at its relaxed geometry, as listed in Alexandria.

Results
DOS(E_F) = 8.4 states/eV per cell
M_tot = 0.9 μB/cell
VASP energy = -56.97 eV per cell
Calculated density = 3296 kg/m3
ΔE_f (raw) = -56.8 kJ/mol of atoms

Cell: 6.1051 6.1051 8.9252 Å, 90.00 90.00 120.00°
Site moments in Bohr magnetons follow the coordinates.
Sites, in units of the cell vectors:
Ba: 0.0000 0.0000 0.0000  0.00
Si: 0.6667 0.3333 0.2649  0.00
Si: 0.3333 0.6667 0.7351  0.00
Sb: 0.0000 0.0000 0.5000  0.00
S: 0.3333 0.6667 0.9720  0.20
S: 0.3230 0.3308 0.3199  0.03
S: 0.6692 0.9922 0.3199  0.03
S: 0.6667 0.3333 0.0280  0.20
S: 0.3308 0.0078 0.6801  0.03
S: 0.6770 0.6692 0.6801  0.03
S: 0.9922 0.3230 0.6801  0.03
S: 0.0078 0.6770 0.3199  0.03

First-principles (GGA-PBE) data for crystalline Ba2SnSbS5 at its relaxed geometry, as listed in Alexandria.

Results
DOS(E_F) = 1.7 states/eV per cell
M_tot = 0.0 μB/cell
VASP energy = -85.48 eV per cell
Calculated density = 4382 kg/m3
ΔE_f (raw) = -108.6 kJ/mol of atoms

Cell: 4.4861 9.3957 12.5064 Å, 90.00 90.00 103.81°
Sites, in units of the cell vectors:
Ba: 0.8712 0.7423 0.8085
Ba: 0.1143 0.2285 0.6883
Ba: 0.1288 0.2577 0.3085
Ba: 0.8857 0.7715 0.1883
Sn: 0.5579 0.1157 0.9544
Sn: 0.4421 0.8843 0.4544
Sb: 0.7818 0.5637 0.5254
Sb: 0.2182 0.4363 0.0254
S: 0.3530 0.7060 0.0013
S: 0.6849 0.3698 0.8699
S: 0.4973 0.9947 0.7781
S: 0.2859 0.5717 0.6575
S: 0.9601 0.9202 0.5407
S: 0.6470 0.2940 0.5013
S: 0.3151 0.6302 0.3699
S: 0.5027 0.0053 0.2781
S: 0.7141 0.4283 0.1575
S: 0.0399 0.0798 0.0407

First-principles (GGA-PBE) data for crystalline BaSnSbS6 at its relaxed geometry, as listed in Alexandria.

Results
DOS(E_F) = 10.5 states/eV per cell
M_tot = 0.9 μB/cell
VASP energy = -39.15 eV per cell
Calculated density = 3624 kg/m3
ΔE_f (raw) = -46.5 kJ/mol of atoms

Cell: 6.5420 6.5420 7.0526 Å, 90.02 89.98 59.94°
Site moments in Bohr magnetons follow the coordinates.
Sites, in units of the cell vectors:
Ba: 0.0000 0.0000 0.0000  0.00
Sn: 0.6665 0.6665 0.4999  -0.01
Sb: 0.3334 0.3334 0.5000  -0.01
S: 0.0052 0.3783 0.2845  0.10
S: 0.3783 0.0053 0.7155  0.10
S: 0.6164 0.3786 0.7155  0.10
S: 0.0047 0.6168 0.7154  0.10
S: 0.3786 0.6164 0.2845  0.10
S: 0.6167 0.0047 0.2845  0.10

First-principles (GGA-PBE) data for crystalline BaSn2SbS at its relaxed geometry, as listed in Alexandria.

Results
DOS(E_F) = 3.8 states/eV per cell
M_tot = 0.0 μB/cell
VASP energy = -19.17 eV per cell
Calculated density = 5421 kg/m3
ΔE_f (raw) = -19.1 kJ/mol of atoms

Cell: 5.4706 5.4099 5.4706 Å, 90.00 90.00 90.00°
Sites, in units of the cell vectors:
Sb: 0.0000 0.5000 0.0000
S: 0.0000 0.0000 0.0000
Ba: 0.5000 0.5000 0.5000
Sn: 0.0000 0.0000 0.5000
Sn: 0.5000 0.0000 0.0000

First-principles (GGA-PBE) data for crystalline Ba3SrSb2S at its relaxed geometry, as listed in Alexandria.

Results
M_tot = 0.0 μB/cell
VASP energy = -28.60 eV per cell
Calculated density = 4348 kg/m3
ΔE_f (raw) = -121.0 kJ/mol of atoms

Cell: 5.5812 5.7990 9.9938 Å, 106.87 106.21 90.00°
Sites, in units of the cell vectors:
Ba: 0.0000 0.5000 0.0000
Ba: 0.1777 0.1777 0.3554
Ba: 0.8223 0.8223 0.6446
Sr: 0.5000 0.0000 0.0000
Sb: 0.6319 0.6319 0.2637
Sb: 0.3681 0.3681 0.7363
S: 0.0000 0.0000 0.0000

First-principles (GGA-PBE) data for crystalline Ba2Sr2Sb2S at its relaxed geometry, as listed in Alexandria.

Results
M_tot = 0.0 μB/cell
VASP energy = -28.79 eV per cell
Calculated density = 4328 kg/m3
ΔE_f (raw) = -127.0 kJ/mol of atoms

Cell: 5.5273 5.5273 9.9142 Å, 106.19 106.19 90.00°
Sites, in units of the cell vectors:
Ba: 0.1764 0.1764 0.3529
Ba: 0.8236 0.8236 0.6471
Sr: 0.0000 0.5000 0.0000
Sr: 0.5000 0.0000 0.0000
Sb: 0.3702 0.3702 0.7403
Sb: 0.6298 0.6298 0.2597
S: 0.0000 0.0000 0.0000

First-principles (GGA-PBE) data for crystalline BaTaSbS6 at its relaxed geometry, as listed in Alexandria.

Results
DOS(E_F) = 0.9 states/eV per cell
M_tot = 0.0 μB/cell
VASP energy = -50.36 eV per cell
Calculated density = 4137 kg/m3
ΔE_f (raw) = -82.6 kJ/mol of atoms

Cell: 6.5437 6.5437 6.8452 Å, 90.00 90.00 60.00°
Sites, in units of the cell vectors:
Ba: 0.0000 0.0000 0.0000
Ta: 0.6666 0.6667 0.5000
Sb: 0.3333 0.3334 0.5000
S: 0.9899 0.3954 0.2868
S: 0.3953 0.9899 0.7132
S: 0.6147 0.3954 0.7132
S: 0.9898 0.6148 0.7132
S: 0.3953 0.6148 0.2868
S: 0.6148 0.9898 0.2868

First-principles (GGA-PBE) data for crystalline Ba2TbSbS6 at its relaxed geometry, as listed in Alexandria.

Results
M_tot = 0.0 μB/cell
VASP energy = -102.12 eV per cell
Calculated density = 4626 kg/m3
ΔE_f (raw) = -132.2 kJ/mol of atoms

Cell: 7.1766 7.3038 10.2418 Å, 90.00 90.27 90.00°
Sites, in units of the cell vectors:
Ba: 0.0152 0.9378 0.2489
Ba: 0.5152 0.5622 0.7489
Ba: 0.9848 0.0622 0.7511
Ba: 0.4848 0.4378 0.2511
Tb: 0.5000 0.0000 0.0000
Tb: 0.0000 0.5000 0.5000
Sb: 0.5000 0.0000 0.5000
Sb: 0.0000 0.5000 0.0000
S: 0.2859 0.6962 0.0438
S: 0.7859 0.8038 0.5438
S: 0.7141 0.3038 0.9562
S: 0.2141 0.1962 0.4562
S: 0.3060 0.7121 0.4609
S: 0.8060 0.7879 0.9609
S: 0.6940 0.2879 0.5391
S: 0.1940 0.2121 0.0391
S: 0.9210 0.5051 0.2414
S: 0.4210 0.9949 0.7414
S: 0.0790 0.4949 0.7586
S: 0.5790 0.0051 0.2586